Entry 1:
DFT (GGA-PBEsol) results for a relaxed structure of Al2CdB.

Properties
Energy: -14.9 eV per formula unit
Calculated formation energy: 383 meV/atom

Unit cell a=7.2912 b=5.7064 c=7.2912 alpha=129.71 beta=90.00 gamma=129.71
Last column: nearest neighbours and their distance in Å.
Sites, in units of the cell vectors:
Al (0.4812, 0.2500, 0.3750)  2 B 2.19
Cd (0.0000, 0.0000, 0.0000)  2 B 2.45
Al (0.6250, 0.7500, 0.2312)  2 B 2.19
Al (0.1250, 0.7500, 0.5188)  2 B 2.19
B (0.5000, 0.0000, 0.5000)  4 Al 2.19, 2 Cd 2.45
Al (0.7688, 0.2500, 0.8750)  2 B 2.19
Cd (0.2500, 0.5000, 0.7500)  2 B 2.45
B (0.7500, 0.5000, 0.2500)  4 Al 2.19, 2 Cd 2.45

---

Entry 2:
DFT (GGA-PBEsol) results for a relaxed structure of AlCd3B.

Properties
Energy: -7.9 eV per formula unit
Calculated formation energy: 1368 meV/atom

Unit cell a=5.0342 b=5.0342 c=5.0342 alpha=90.00 beta=90.00 gamma=90.00
Last column: nearest neighbours and their distance in Å.
Sites, in units of the cell vectors:
Cd (0.0000, 0.5000, 0.0000)  2 Al 2.52
Cd (0.0000, 0.0000, 0.5000)  2 Al 2.52
Al (0.0000, 0.0000, 0.0000)  6 Cd 2.52
B (0.5000, 0.5000, 0.5000)  12 Cd 3.56
Cd (0.5000, 0.0000, 0.0000)  2 Al 2.52

---

Entry 3:
DFT (GGA-PBEsol) results for a relaxed structure of AlZnCd2B.

Properties
Energy: -12.7 eV per formula unit
Calculated formation energy: 467 meV/atom

Unit cell a=4.0071 b=4.7157 c=4.7157 alpha=90.00 beta=90.00 gamma=90.00
Last column: nearest neighbours and their distance in Å.
Sites, in units of the cell vectors:
Al (0.5000, 0.0000, 0.0000)  2 B 2.00
Cd (0.0000, 0.0000, 0.5000)  2 B 2.36
B (0.0000, 0.0000, 0.0000)  2 Al 2.00
Cd (0.0000, 0.5000, 0.0000)  2 B 2.36
Zn (0.5000, 0.5000, 0.5000)  8 Cd 3.09, 4 Al 3.33

---

Entry 4:
DFT (GGA-PBEsol) results for a relaxed structure of CeAl2BRu2.

Properties
Energy: -45.5 eV per formula unit
Calculated formation energy: -561 meV/atom

Unit cell a=4.1585 b=4.1585 c=5.4981 alpha=90.00 beta=90.00 gamma=90.00
Last column: nearest neighbours and their distance in Å.
Sites, in units of the cell vectors:
B (0.0000, 0.0000, 0.0000)  4 Ru 2.08
Ru (0.0000, 0.5000, 0.0000)  2 B 2.08
Ce (0.0000, 0.0000, 0.5000)  2 B 2.75
Al (0.5000, 0.5000, 0.7398)  4 Ru 2.52, 1 Al 2.64
Al (0.5000, 0.5000, 0.2602)  4 Ru 2.52, 1 Al 2.64
Ru (0.5000, 0.0000, 0.0000)  2 B 2.08

---

Entry 5:
DFT (GGA-PBEsol) results for a relaxed structure of AlBCl3.

Properties
Energy: -16.3 eV per formula unit
Formation energy (no corrections): 168 meV/atom

Unit cell a=4.7020 b=4.7020 c=4.7020 alpha=90.00 beta=90.00 gamma=90.00
Last column: nearest neighbours and their distance in Å.
Sites, in units of the cell vectors:
Cl (0.5000, 0.0000, 0.0000)  2 Al 2.35
B (0.5000, 0.5000, 0.5000)  12 Cl 3.32
Cl (0.0000, 0.0000, 0.5000)  2 Al 2.35
Al (0.0000, 0.0000, 0.0000)  6 Cl 2.35
Cl (0.0000, 0.5000, 0.0000)  2 Al 2.35

---

Entry 6:
DFT (GGA-PBEsol) results for a relaxed structure of Al2NiBCl.

Properties
Energy: -22.9 eV per formula unit
Formation energy (no corrections): 96 meV/atom

Unit cell a=3.8415 b=4.3369 c=4.3369 alpha=90.00 beta=90.00 gamma=90.00
Last column: nearest neighbours and their distance in Å.
Sites, in units of the cell vectors:
Al (0.0000, 0.0000, 0.5000)  2 B 2.17
Ni (0.5000, 0.0000, 0.0000)  2 B 1.92
Cl (0.5000, 0.5000, 0.5000)  8 Al 2.90, 4 Ni 3.07
Al (0.0000, 0.5000, 0.0000)  2 B 2.17
B (0.0000, 0.0000, 0.0000)  2 Ni 1.92

---

Entry 7:
DFT (GGA-PBEsol) results for a relaxed structure of AlB2PtCl.

Properties
Energy: -23.7 eV per formula unit
Formation energy (no corrections): 679 meV/atom

Unit cell a=3.9904 b=3.9904 c=6.4082 alpha=90.00 beta=90.00 gamma=90.00
Last column: nearest neighbours and their distance in Å.
Sites, in units of the cell vectors:
B (0.5000, 0.0000, 0.0000)  2 Pt 2.00
B (0.0000, 0.5000, 0.0000)  2 Pt 2.00
Cl (0.0000, 0.0000, 0.5000)  4 Al 2.82
Pt (0.0000, 0.0000, 0.0000)  4 B 2.00
Al (0.5000, 0.5000, 0.5000)  4 Cl 2.82

---

Entry 8:
DFT (GGA-PBEsol) results for a relaxed structure of AlBS2Cl.

Properties
Energy: -20.6 eV per formula unit
Formation energy (no corrections): 255 meV/atom

Unit cell a=4.1516 b=4.1516 c=4.3258 alpha=90.00 beta=90.00 gamma=90.00
Last column: nearest neighbours and their distance in Å.
Sites, in units of the cell vectors:
B (0.0000, 0.0000, 0.0000)  4 S 2.08, 2 Cl 2.16
S (0.5000, 0.0000, 0.0000)  2 B 2.08
Al (0.5000, 0.5000, 0.5000)  4 Cl 2.94, 8 S 3.00
Cl (0.0000, 0.0000, 0.5000)  2 B 2.16
S (0.0000, 0.5000, 0.0000)  2 B 2.08

---

- Which of these has the highest energy?
  AlCd3B